# TbCo5Si3

A relaxed structure of TbCo5Si3 (PBE-GGA, Alexandria via LeMat-Bulk).

Computed properties:
Density   7365 kg/m3
Uncorrected formation energy   -0.549 eV per atom
Energy   -6.8193 eV per atom

Unit cell a=6.1342 b=6.1342 c=11.1921 alpha=90.00 beta=90.00 gamma=144.84
Element x y z (fractional)
Tb  0.1702  0.8298  0.7500
Tb  0.8298  0.1702  0.2500
Co  0.0000  0.0000  0.0000
Co  0.0000  0.0000  0.5000
Co  0.1937  0.8063  0.0650
Co  0.1937  0.8063  0.4350
Co  0.4501  0.5499  0.6457
Co  0.4501  0.5499  0.8543
Co  0.5499  0.4501  0.1457
Co  0.5499  0.4501  0.3543
Co  0.8063  0.1937  0.5650
Co  0.8063  0.1937  0.9350
Si  0.1096  0.8904  0.2500
Si  0.3805  0.6195  0.0422
Si  0.3805  0.6195  0.4578
Si  0.6195  0.3805  0.5422
Si  0.6195  0.3805  0.9578
Si  0.8904  0.1096  0.7500

=====

# Tb3CoSi3

A relaxed structure of Tb3CoSi3 (PBE-GGA, Alexandria via LeMat-Bulk).

Computed properties:
Density   7398 kg/m3
Uncorrected formation energy   -0.778 eV per atom
Energy   -6.1016 eV per atom

Unit cell a=5.6742 b=5.6742 c=13.5224 alpha=109.66 beta=109.66 gamma=43.29
Element x y z (fractional)
Tb  0.0241  0.0241  0.3794
Tb  0.1003  0.1003  0.9193
Tb  0.2478  0.2478  0.2289
Tb  0.7522  0.7522  0.7711
Tb  0.8997  0.8997  0.0807
Tb  0.9759  0.9759  0.6206
Co  0.2531  0.2531  0.5812
Co  0.7469  0.7469  0.4188
Si  0.3582  0.3582  0.4562
Si  0.3860  0.3860  0.9239
Si  0.4445  0.4445  0.7575
Si  0.5555  0.5555  0.2425
Si  0.6140  0.6140  0.0761
Si  0.6418  0.6418  0.5438

=====

# Tb2CoSi2

A relaxed structure of Tb2CoSi2 (PBE-GGA, Alexandria via LeMat-Bulk).

Computed properties:
Density   7547 kg/m3
Uncorrected formation energy   -0.753 eV per atom
Energy   -6.1957 eV per atom

Unit cell a=5.6563 b=5.6563 c=10.0335 alpha=117.25 beta=117.25 gamma=42.99
Element x y z (fractional)
Tb  0.0021  0.0021  0.1722
Tb  0.1866  0.1866  0.6048
Tb  0.8134  0.8134  0.3952
Tb  0.9979  0.9979  0.8278
Co  0.2726  0.2726  0.1195
Co  0.7274  0.7274  0.8805
Si  0.3465  0.3465  0.9332
Si  0.4967  0.4967  0.6274
Si  0.5033  0.5033  0.3726
Si  0.6535  0.6535  0.0668